A:
CaSmRh | Alexandria via LeMat-Bulk | PBE | optimized geometry; total magnetization = 0.00 μB/f.u.
1.0
3.498 0.000 0.000
0.000 3.498 0.000
0.000 0.000 13.251
Ca Sm Rh
2 2 2
direct
0.000 0.000 0.000
0.500 0.500 0.500
0.000 0.000 0.255
0.500 0.500 0.755
0.000 0.000 0.640
0.500 0.500 0.140



B:
CaSmRh | Alexandria via LeMat-Bulk | PBE | optimized geometry; total magnetization = 0.00 μB/f.u.
1.0
3.984 0.000 0.000
0.000 12.600 0.000
0.000 0.000 6.368
Ca Sm Rh
4 4 4
direct
0.000 0.000 0.000
0.000 0.000 0.500
0.500 0.500 0.000
0.500 0.500 0.500
0.000 0.278 0.250
0.000 0.722 0.750
0.500 0.222 0.750
0.500 0.778 0.250
0.000 0.369 0.750
0.000 0.631 0.250
0.500 0.131 0.250
0.500 0.869 0.750



C:
CaSmRh | Alexandria via LeMat-Bulk | PBE | optimized geometry; total magnetization = 0.00 μB/f.u.
1.0
4.032 0.000 0.000
-2.016 3.492 0.000
0.000 0.000 6.521
Ca Sm Rh
1 1 1
direct
0.000 0.000 0.000
0.333 0.667 0.481
0.667 0.333 0.258



Stability, lowest: C



A:
CaSm3Rh | Alexandria via LeMat-Bulk | PBE | optimized geometry; total magnetization = 0.00 μB/f.u.
1.0
5.568 0.000 0.000
0.000 5.568 0.000
0.000 0.000 5.568
Ca Sm Rh
1 3 1
direct
0.000 0.000 0.000
0.000 0.500 0.500
0.500 0.000 0.500
0.500 0.500 0.000
0.500 0.500 0.500



B:
CaSm3Rh | Alexandria via LeMat-Bulk | PBE | optimized geometry; total magnetization = 1.04 μB/f.u.
1.0
7.805 0.000 0.000
-3.902 6.759 0.000
0.000 0.000 6.146
Ca Sm Rh
2 6 2
direct
0.333 0.667 0.250
0.667 0.333 0.750
0.174 0.349 0.750
0.174 0.826 0.750
0.349 0.174 0.250
0.651 0.826 0.750
0.826 0.174 0.250
0.826 0.651 0.250
0.000 0.000 0.000
0.000 0.000 0.500



Stability, lowest: A



A:
CaSmZnRh | Alexandria via LeMat-Bulk | PBE | optimized geometry; total magnetization = 0.00 μB/f.u.
1.0
7.090 0.000 0.000
0.000 7.090 0.000
0.000 0.000 7.090
Ca Sm Zn Rh
4 4 4 4
direct
0.000 0.000 0.000
0.000 0.500 0.500
0.500 0.000 0.500
0.500 0.500 0.000
0.000 0.000 0.500
0.000 0.500 0.000
0.500 0.000 0.000
0.500 0.500 0.500
0.250 0.250 0.250
0.250 0.750 0.750
0.750 0.250 0.750
0.750 0.750 0.250
0.250 0.250 0.750
0.250 0.750 0.250
0.750 0.250 0.250
0.750 0.750 0.750



B:
CaSmZnRh | Alexandria via LeMat-Bulk | PBE | optimized geometry; total magnetization = 0.00 μB/f.u.
1.0
4.161 0.000 0.000
0.000 4.077 0.000
0.000 0.000 11.241
Ca Sm Zn Rh
2 2 2 2
direct
0.000 0.000 0.000
0.000 0.500 0.500
0.500 0.000 0.282
0.500 0.500 0.782
0.500 0.000 0.579
0.500 0.500 0.079
0.000 0.000 0.723
0.000 0.500 0.223



Stability, lowest: A



A:
SrCaRh | Alexandria via LeMat-Bulk | PBE | optimized geometry; total magnetization = 0.00 μB/f.u.
1.0
6.146 0.000 0.000
0.000 4.592 0.000
-1.940 0.000 6.938
Sr Ca Rh
2 2 2
direct
0.073 0.250 0.307
0.927 0.750 0.693
0.477 0.250 0.792
0.523 0.750 0.208
0.384 0.750 0.555
0.616 0.250 0.445



B:
SrCaRh | Alexandria via LeMat-Bulk | PBE | optimized geometry; total magnetization = 0.00 μB/f.u.
1.0
3.479 -6.905 0.000
3.479 6.905 0.000
0.000 0.000 7.646
Sr Ca Rh
4 4 4
direct
0.200 0.800 0.887
0.300 0.700 0.387
0.700 0.300 0.613
0.800 0.200 0.113
0.217 0.283 0.750
0.283 0.217 0.250
0.717 0.783 0.750
0.783 0.717 0.250
0.097 0.903 0.535
0.403 0.597 0.035
0.597 0.403 0.965
0.903 0.097 0.465



C:
SrCaRh | Alexandria via LeMat-Bulk | PBE | optimized geometry; total magnetization = 0.00 μB/f.u.
1.0
4.284 0.000 0.000
-2.142 3.710 0.000
0.000 0.000 6.453
Sr Ca Rh
1 1 1
direct
0.000 0.000 0.000
0.667 0.333 0.542
0.333 0.667 0.748



D:
SrCaRh | Alexandria via LeMat-Bulk | PBE | optimized geometry; total magnetization = 0.00 μB/f.u.
1.0
7.140 0.000 0.000
0.000 7.140 0.000
0.000 0.000 7.140
Sr Ca Rh
4 4 4
direct
0.000 0.000 0.000
0.000 0.500 0.500
0.500 0.000 0.500
0.500 0.500 0.000
0.000 0.000 0.500
0.000 0.500 0.000
0.500 0.000 0.000
0.500 0.500 0.500
0.250 0.250 0.250
0.250 0.750 0.750
0.750 0.250 0.750
0.750 0.750 0.250



Stability, lowest: C



A:
SrCaRh | Alexandria via LeMat-Bulk | PBE | optimized geometry; total magnetization = 0.00 μB/f.u.
1.0
14.182 0.000 0.000
0.000 4.455 0.000
0.000 0.000 8.216
Sr Ca Rh
6 6 6
direct
0.044 0.000 0.203
0.250 0.000 0.859
0.456 0.000 0.203
0.544 0.000 0.797
0.750 0.000 0.141
0.956 0.000 0.797
0.130 0.500 0.579
0.250 0.500 0.199
0.370 0.500 0.579
0.630 0.500 0.421
0.750 0.500 0.801
0.870 0.500 0.421
0.092 0.500 0.946
0.250 0.000 0.446
0.408 0.500 0.946
0.592 0.500 0.054
0.750 0.000 0.554
0.908 0.500 0.054



B:
SrCaRh | Alexandria via LeMat-Bulk | PBE | optimized geometry; total magnetization = 0.00 μB/f.u.
1.0
3.619 0.000 0.000
0.000 3.619 0.000
0.000 0.000 13.732
Sr Ca Rh
2 2 2
direct
0.000 0.000 0.000
0.500 0.500 0.500
0.000 0.000 0.244
0.500 0.500 0.744
0.000 0.000 0.632
0.500 0.500 0.132



Stability, lowest: B



A:
Sr2CaRh | Alexandria via LeMat-Bulk | PBE | optimized geometry; total magnetization = 0.00 μB/f.u.
1.0
7.927 0.000 0.000
0.000 7.927 0.000
0.000 0.000 7.927
Sr Ca Rh
8 4 4
direct
0.250 0.250 0.250
0.250 0.250 0.750
0.250 0.750 0.250
0.250 0.750 0.750
0.750 0.250 0.250
0.750 0.250 0.750
0.750 0.750 0.250
0.750 0.750 0.750
0.000 0.000 0.000
0.000 0.500 0.500
0.500 0.000 0.500
0.500 0.500 0.000
0.000 0.000 0.500
0.000 0.500 0.000
0.500 0.000 0.000
0.500 0.500 0.500



B:
Sr2CaRh | Alexandria via LeMat-Bulk | PBE | optimized geometry; total magnetization = 0.00 μB/f.u.
1.0
3.740 0.000 0.000
0.000 3.740 0.000
0.000 0.000 10.018
Sr Ca Rh
2 1 1
direct
0.000 0.000 0.173
0.000 0.000 0.827
0.500 0.500 0.500
0.500 0.500 0.000



C:
Sr2CaRh | Alexandria via LeMat-Bulk | PBE | optimized geometry; total magnetization = 0.00 μB/f.u.
1.0
7.219 0.000 0.000
0.000 7.211 0.000
-0.011 0.000 4.814
Sr Ca Rh
4 2 2
direct
0.250 0.250 0.000
0.250 0.750 0.000
0.750 0.250 0.000
0.750 0.750 0.000
0.000 0.000 0.500
0.500 0.500 0.500
0.000 0.500 0.500
0.500 0.000 0.500



Stability, lowest: A



A:
Sr2CaRh | Alexandria via LeMat-Bulk | PBE | optimized geometry; total magnetization = 0.00 μB/f.u.
1.0
3.664 0.000 0.000
0.000 4.887 0.000
0.000 0.000 16.323
Sr Ca Rh
4 2 2
direct
0.000 0.000 0.155
0.000 0.000 0.845
0.500 0.500 0.345
0.500 0.500 0.655
0.000 0.500 0.000
0.500 0.000 0.500
0.000 0.500 0.500
0.500 0.000 0.000



B:
Sr2CaRh | Alexandria via LeMat-Bulk | PBE | optimized geometry; total magnetization = 0.00 μB/f.u.
1.0
4.241 0.000 0.000
-2.121 3.673 0.000
0.000 0.000 30.606
Sr Ca Rh
6 3 3
direct
0.000 0.000 0.220
0.000 0.000 0.780
0.333 0.667 0.447
0.333 0.667 0.886
0.667 0.333 0.114
0.667 0.333 0.553
0.000 0.000 0.000
0.333 0.667 0.667
0.667 0.333 0.333
0.000 0.000 0.500
0.333 0.667 0.167
0.667 0.333 0.833



Stability, lowest: B



A:
Sr2CaRh | Alexandria via LeMat-Bulk | PBE | optimized geometry; total magnetization = 0.00 μB/f.u.
1.0
3.687 0.000 0.000
0.000 3.687 0.000
0.000 0.000 10.237
Sr Ca Rh
2 1 1
direct
0.000 0.000 0.000
0.500 0.500 0.350
0.000 0.000 0.673
0.500 0.500 0.822



B:
Sr2CaRh | Alexandria via LeMat-Bulk | PBE | optimized geometry; total magnetization = 0.00 μB/f.u.
1.0
6.095 0.000 0.000
0.000 4.224 0.000
-3.038 0.000 6.280
Sr Ca Rh
2 1 1
direct
0.000 0.000 0.000
0.341 0.500 0.681
0.698 0.000 0.397
0.840 0.500 0.680



Stability, lowest: A



A:
Sr2CaRh2 | Alexandria via LeMat-Bulk | PBE | optimized geometry; total magnetization = 0.00 μB/f.u.
1.0
8.744 0.000 0.000
0.000 8.744 0.000
0.000 0.000 3.373
Sr Ca Rh
4 2 4
direct
0.131 0.369 0.000
0.369 0.869 0.000
0.631 0.131 0.000
0.869 0.631 0.000
0.000 0.000 0.000
0.500 0.500 0.000
0.173 0.673 0.500
0.327 0.173 0.500
0.673 0.827 0.500
0.827 0.327 0.500



B:
Sr2CaRh2 | Alexandria via LeMat-Bulk | PBE | optimized geometry; total magnetization = 0.00 μB/f.u.
1.0
5.266 0.000 0.000
0.000 5.266 0.000
0.000 0.000 10.603
Sr Ca Rh
4 2 4
direct
0.000 0.000 0.155
0.000 0.000 0.845
0.500 0.500 0.345
0.500 0.500 0.655
0.000 0.000 0.500
0.500 0.500 0.000
0.000 0.500 0.250
0.000 0.500 0.750
0.500 0.000 0.250
0.500 0.000 0.750



Stability, lowest: B



A:
Sr2CaTaRh | Alexandria via LeMat-Bulk | PBE | optimized geometry; total magnetization = 2.28 μB/f.u.
1.0
5.781 0.000 0.000
0.000 5.781 0.000
0.000 0.000 5.513
Sr Ca Ta Rh
2 1 1 1
direct
0.000 0.500 0.000
0.500 0.000 0.000
0.000 0.000 0.500
0.000 0.000 0.000
0.500 0.500 0.500



B:
Sr2CaTaRh | Alexandria via LeMat-Bulk | PBE | optimized geometry; total magnetization = 0.00 μB/f.u.
1.0
5.713 0.000 0.000
0.000 5.713 0.000
0.000 0.000 4.902
Sr Ca Ta Rh
2 1 1 1
direct
0.000 0.500 0.000
0.500 0.000 0.000
0.000 0.000 0.000
0.000 0.000 0.500
0.500 0.500 0.500



Stability, lowest: B



A:
Ca2TaRh | Alexandria via LeMat-Bulk | PBE | optimized geometry; total magnetization = 0.00 μB/f.u.
1.0
6.956 0.000 0.000
0.000 6.956 0.000
0.000 0.000 6.956
Ca Ta Rh
8 4 4
direct
0.000 0.000 0.000
0.000 0.500 0.500
0.250 0.250 0.250
0.250 0.750 0.750
0.500 0.000 0.500
0.500 0.500 0.000
0.750 0.250 0.750
0.750 0.750 0.250
0.000 0.000 0.500
0.000 0.500 0.000
0.500 0.000 0.000
0.500 0.500 0.500
0.250 0.250 0.750
0.250 0.750 0.250
0.750 0.250 0.250
0.750 0.750 0.750



B:
Ca2TaRh | Alexandria via LeMat-Bulk | PBE | optimized geometry; total magnetization = 1.32 μB/f.u.
1.0
10.289 0.000 0.000
0.000 10.289 0.000
0.000 0.000 4.837
Ca Ta Rh
8 4 4
direct
0.106 0.250 0.125
0.250 0.606 0.375
0.250 0.894 0.875
0.394 0.250 0.625
0.606 0.750 0.625
0.750 0.106 0.875
0.750 0.394 0.375
0.894 0.750 0.125
0.000 0.000 0.500
0.000 0.500 0.750
0.500 0.000 0.250
0.500 0.500 0.000
0.000 0.000 0.000
0.000 0.500 0.250
0.500 0.000 0.750
0.500 0.500 0.500



Stability, lowest: B